First-principles (PBE-GGA) data for an optimized crystal structure of Ba2PtW, as listed in Alexandria.

a = 10.335 Å, b = 10.335 Å, c = 10.335 Å
α = 19.98°, β = 19.98°, γ = 19.98°
Fractional coordinates of all 4 atoms:
W1 0.750 0.750 0.750
Pt1 0.250 0.250 0.250
Ba1 0.994 0.994 0.994
Ba2 0.506 0.506 0.506

DOS(E_F) (states/eV/f.u.): 3.42
Formation energy (eV per atom): 1.035
Space group: R-3m (166)
Calculated total energy (eV/atom): -4.675
Polymorph energy (0 for the lowest one) (eV/atom): 0.717
Magnetic moment (μB/f.u.): 0.0